1.
Computed, not measured: a relaxed KMgPdPb2 crystal at the PBE level of DFT.

Results
ΔE_f: 461.0 kJ/mol of formula units
Total magnetic moment: 0.0 μB/cell
DFT total energy: -2.10 eV per atom

Structure (extended XYZ):
```
5
Lattice="5.955 0.000 0.000 0.000 5.955 0.000 0.000 0.000 4.974" Properties=species:S:1:pos:R:3 pbc="T T T"
K 0.000 0.000 0.000
Mg 2.977 2.977 2.487
Pd 0.000 0.000 2.487
Pb 0.000 2.977 0.000
Pb 2.977 0.000 0.000
```

2.
Computed, not measured: a relaxed KMg2PtPb crystal at the PBE level of DFT.

Results
ΔE_f: -120.3 kJ/mol of formula units
Total magnetic moment: 0.0 μB/cell
DFT total energy: -3.06 eV per atom

Structure (extended XYZ):
```
5
Lattice="5.198 0.000 0.000 0.000 5.198 0.000 0.000 0.000 5.457" Properties=species:S:1:pos:R:3 pbc="T T T"
K 0.000 0.000 0.000
Mg 0.000 2.599 2.729
Mg 2.599 0.000 2.729
Pt 2.599 2.599 2.729
Pb 2.599 2.599 0.000
```

3.
Computed, not measured: a relaxed KRb2MgPb crystal at the PBE level of DFT.

Results
ΔE_f: 42.1 kJ/mol of formula units
Total magnetic moment: 0.0 μB/cell
DFT total energy: -1.58 eV per atom

Structure (extended XYZ):
```
5
Lattice="7.386 0.000 0.000 0.000 7.386 0.000 0.000 0.000 5.577" Properties=species:S:1:pos:R:3 pbc="T T T"
K 0.000 0.000 0.000
Rb 0.000 3.693 2.788
Rb 3.693 0.000 2.788
Mg 3.693 3.693 0.000
Pb 3.693 3.693 2.788
```

The evaluated density for the records listed, in turn: 5.50, 5.52, 2.41 g/cm³.